(1)
# Pm2SmDyTh GGA-PBE relaxed
data_Pm2SmDyTh
_chemical_formula_sum 'Pm4 Sm2 Dy2 Th2'
_space_group_name_H-M_alt 'P 1'
_space_group_IT_number 1
_space_group_name_Hall 'P 1'
_cell_length_a 6.3817
_cell_length_b 8.4717
_cell_length_c 6.5874
_cell_angle_alpha 90.00
_cell_angle_beta 103.47
_cell_angle_gamma 90.00
loop_
_atom_site_label
_atom_site_fract_x
_atom_site_fract_y
_atom_site_fract_z
Pm1 0.2183 0.1718 0.1609
Pm2 0.2183 0.8282 0.6609
Pm3 0.7817 0.1718 0.3391
Pm4 0.7817 0.8282 0.8391
Sm1 0.0000 0.4075 0.7500
Sm2 0.0000 0.5925 0.2500
Dy1 0.5000 0.1621 0.7500
Dy2 0.5000 0.8379 0.2500
Th1 0.5000 0.5000 0.0000
Th2 0.5000 0.5000 0.5000
# ΔE_f	24.61	kJ/mol of atoms
# spin magnetization	0.000	μB/f.u.

---

(2)
# Pm5SmDy2Th GGA-PBE relaxed
data_Pm5SmDy2Th
_chemical_formula_sum 'Pm10 Sm2 Dy4 Th2'
_space_group_name_H-M_alt 'P 1'
_space_group_IT_number 1
_space_group_name_Hall 'P 1'
_cell_length_a 11.2698
_cell_length_b 11.2698
_cell_length_c 9.8942
_cell_angle_alpha 90.00
_cell_angle_beta 90.00
_cell_angle_gamma 150.10
loop_
_atom_site_label
_atom_site_fract_x
_atom_site_fract_y
_atom_site_fract_z
Pm1 0.0150 0.9850 0.5000
Pm2 0.2755 0.7245 0.7984
Pm3 0.3016 0.6984 0.1926
Pm4 0.4006 0.5994 0.5243
Pm5 0.4671 0.5329 0.2242
Pm6 0.5329 0.4671 0.7242
Pm7 0.5994 0.4006 0.0243
Pm8 0.6984 0.3016 0.6926
Pm9 0.7245 0.2755 0.2984
Pm10 0.9850 0.0150 0.0000
Sm1 0.1875 0.8125 0.4994
Sm2 0.8125 0.1875 0.9994
Dy1 0.1186 0.8814 0.8191
Dy2 0.1240 0.8760 0.1984
Dy3 0.8760 0.1240 0.6984
Dy4 0.8814 0.1186 0.3191
Th1 0.4076 0.5924 0.9051
Th2 0.5924 0.4076 0.4051
# ΔE_f	14.69	kJ/mol of atoms
# spin magnetization	0.000	μB/f.u.